# TaNi2Te | the Alexandria database | PBE-GGA | optimized geometry
# Raw formation energy: 20 kJ per mole of atoms
# Spin magnetization: 0.00 μB/cell
# Theoretical density: 10.2 g cm⁻³
# E_tot: -6.430 eV/atom
data_TaNi2Te
_chemical_formula_sum 'Ta3 Ni6 Te3'
_cell_length_a 3.2352
_cell_length_b 3.2352
_cell_length_c 22.8756
_cell_angle_alpha 90.00
_cell_angle_beta 90.00
_cell_angle_gamma 120.00
_symmetry_space_group_name_H-M 'R -3 m'
_symmetry_Int_Tables_number 166
_symmetry_space_group_name_Hall '-R 3 2"'
loop_
_atom_site_label
_atom_site_fract_x
_atom_site_fract_y
_atom_site_fract_z
_atom_site_occupancy
Ta1 0.0000 0.0000 0.0000 1
Ni1 0.0000 0.0000 0.2580 1
Te1 0.0000 0.0000 0.5000 1